The following is a PBE-GGA calculation of crystalline Tl3InGe at its relaxed geometry, from Alexandria.

a = 5.5987 Å, b = 5.5987 Å, c = 5.5987 Å
α = 90.00°, β = 90.00°, γ = 90.00°
With the nearest neighbours (Å) after each atom.
Sites, in units of the cell vectors:
Tl (0.0000, 0.0000, 0.5000)  2 Ge 2.80
Tl (0.0000, 0.5000, 0.0000)  2 Ge 2.80
Tl (0.5000, 0.0000, 0.0000)  2 Ge 2.80
In (0.5000, 0.5000, 0.5000)  12 Tl 3.96
Ge (0.0000, 0.0000, 0.0000)  6 Tl 2.80

Crystal system = cubic
Space-group type = Pm-3m
ΔE_f = 0.33 eV per atom
Electronic total energy = -2.5575 eV/atom

---

The following is a PBE-GGA calculation of crystalline TlInGe at its relaxed geometry, from Alexandria.

a = 6.9877 Å, b = 6.9877 Å, c = 6.9877 Å
α = 151.31°, β = 151.31°, γ = 41.02°
With the nearest neighbours (Å) after each atom.
Sites, in units of the cell vectors:
Tl (0.0000, 0.0000, 0.0000)  4 Ge 3.26, 4 Tl 3.46, 4 In 3.56
In (0.3028, 0.3028, 0.0000)  4 Ge 3.05
Ge (0.6642, 0.6642, 0.0000)  4 In 3.05, 4 Tl 3.26

Crystal system = tetragonal
Space-group type = I4mm
ΔE_f = 0.16 eV per atom
Electronic total energy = -3.0801 eV/atom

---

The following is a PBE-GGA calculation of crystalline TlIn3Ge at its relaxed geometry, from Alexandria.

a = 5.6653 Å, b = 5.6653 Å, c = 5.6653 Å
α = 90.00°, β = 90.00°, γ = 90.00°
With the nearest neighbours (Å) after each atom.
Sites, in units of the cell vectors:
Tl (0.0000, 0.0000, 0.0000)  6 In 2.83
In (0.0000, 0.0000, 0.5000)  2 Tl 2.83
In (0.0000, 0.5000, 0.0000)  2 Tl 2.83
In (0.5000, 0.0000, 0.0000)  2 Tl 2.83
Ge (0.5000, 0.5000, 0.5000)  12 In 4.01

Crystal system = cubic
Space-group type = Pm-3m
ΔE_f = 0.74 eV per atom
Electronic total energy = -2.3048 eV/atom

---

The following is a PBE-GGA calculation of crystalline Tl2InGe at its relaxed geometry, from Alexandria.

a = 3.5833 Å, b = 3.5833 Å, c = 8.4423 Å
α = 90.00°, β = 90.00°, γ = 90.00°
With the nearest neighbours (Å) after each atom.
Sites, in units of the cell vectors:
Tl (0.0000, 0.0000, 0.2274)  4 Ge 3.18, 4 In 3.42
Tl (0.0000, 0.0000, 0.7726)  4 Ge 3.18, 4 In 3.42
In (0.5000, 0.5000, 0.5000)  8 Tl 3.42, 4 In 3.58
Ge (0.5000, 0.5000, 0.0000)  8 Tl 3.18

Crystal system = tetragonal
Space-group type = P4/mmm
ΔE_f = 0.15 eV per atom
Electronic total energy = -2.8742 eV/atom

---

The following is a PBE-GGA calculation of crystalline Tl17In11Ge at its relaxed geometry, from Alexandria.

a = 10.3789 Å, b = 10.3789 Å, c = 10.3367 Å
α = 109.45°, β = 109.45°, γ = 109.48°
With the nearest neighbours (Å) after each atom.
Sites, in units of the cell vectors:
Tl (0.0000, 0.0000, 0.0000)  4 Tl 3.41-3.74, 6 In 3.57-3.63
Tl (0.0002, 0.0002, 0.3620)  1 Ge 3.55, 11 In 3.58-3.68, 4 Tl 3.71-3.74
Tl (0.0011, 0.6436, 0.3633)  4 Tl 3.43-3.71, 5 In 3.51-3.63, 1 Ge 3.57
Tl (0.2843, 0.6038, 0.9624)  5 In 3.28-3.66, 7 Tl 3.45-3.59
Tl (0.3175, 0.3175, 0.0682)  5 In 3.29-3.62, 7 Tl 3.45-3.60
Tl (0.3235, 0.7165, 0.6790)  5 In 3.25-3.63, 6 Tl 3.44-3.62
Tl (0.3635, 0.3635, 0.7172)  4 Tl 3.45-3.74, 8 In 3.59-3.85
Tl (0.3948, 0.6802, 0.3572)  4 In 3.25-3.47, 7 Tl 3.43-3.59
Tl (0.3954, 0.9985, 0.0385)  5 In 3.28-3.63, 7 Tl 3.47-3.60
Tl (0.6038, 0.2843, 0.9624)  5 In 3.28-3.66, 7 Tl 3.45-3.59
Tl (0.6123, 0.6123, 0.6349)  1 Ge 3.19, 5 Tl 3.45-3.54, 2 In 3.50
Tl (0.6436, 0.0011, 0.3633)  4 Tl 3.43-3.71, 5 In 3.51-3.63, 1 Ge 3.57
Tl (0.6802, 0.3948, 0.3572)  4 In 3.25-3.47, 7 Tl 3.43-3.59
Tl (0.6837, 0.9979, 0.7532)  3 In 3.25-3.63, 1 Ge 3.34, 7 Tl 3.41-3.64
Tl (0.7165, 0.3235, 0.6790)  5 In 3.25-3.63, 6 Tl 3.44-3.62
Tl (0.9985, 0.3954, 0.0385)  5 In 3.28-3.63, 7 Tl 3.47-3.60
Tl (0.9979, 0.6837, 0.7532)  3 In 3.25-3.63, 1 Ge 3.34, 7 Tl 3.41-3.64
In (0.0037, 0.3722, 0.5490)  3 In 3.07-3.18, 3 Tl 3.25-3.41
In (0.1752, 0.8105, 0.1724)  3 In 3.07-3.18, 2 Tl 3.28-3.40
In (0.1810, 0.9946, 0.7203)  1 Ge 2.97, 2 In 3.07-3.16, 1 Tl 3.28
In (0.1856, 0.3656, 0.3555)  3 In 3.05-3.18, 2 Tl 3.25-3.38
In (0.3656, 0.1856, 0.3555)  3 In 3.05-3.18, 2 Tl 3.25-3.38
In (0.3722, 0.0037, 0.5490)  3 In 3.07-3.18, 3 Tl 3.25-3.41
In (0.6313, 0.8133, 0.9939)  3 In 3.07-3.26, 2 Tl 3.25-3.37
In (0.6432, 0.6432, 0.2087)  1 Ge 2.91
In (0.8105, 0.1752, 0.1724)  3 In 3.07-3.18, 2 Tl 3.28-3.40
In (0.8133, 0.6313, 0.9939)  3 In 3.07-3.26, 2 Tl 3.25-3.37
In (0.9946, 0.1810, 0.7203)  1 Ge 2.97, 2 In 3.07-3.16, 1 Tl 3.28
Ge (0.8304, 0.8304, 0.5521)  3 In 2.91-2.97, 1 Tl 3.19

Crystal system = monoclinic
Space-group type = Cm
ΔE_f = 0.02 eV per atom
Electronic total energy = -2.5625 eV/atom

---

The following is a PBE-GGA calculation of crystalline Tl3InGe at its relaxed geometry, from Alexandria.

a = 5.7078 Å, b = 5.7078 Å, c = 5.7078 Å
α = 90.00°, β = 90.00°, γ = 90.00°
With the nearest neighbours (Å) after each atom.
Sites, in units of the cell vectors:
Tl (0.0000, 0.0000, 0.5000)  2 In 2.85
Tl (0.0000, 0.5000, 0.0000)  2 In 2.85
Tl (0.5000, 0.0000, 0.0000)  2 In 2.85
In (0.0000, 0.0000, 0.0000)  6 Tl 2.85
Ge (0.5000, 0.5000, 0.5000)  12 Tl 4.04

Crystal system = cubic
Space-group type = Pm-3m
ΔE_f = 0.63 eV per atom
Electronic total energy = -2.2649 eV/atom

---

Copy entry 5 word for word.
The following is a PBE-GGA calculation of crystalline Tl17In11Ge at its relaxed geometry, from Alexandria.

a = 10.3789 Å, b = 10.3789 Å, c = 10.3367 Å
α = 109.45°, β = 109.45°, γ = 109.48°
With the nearest neighbours (Å) after each atom.
Sites, in units of the cell vectors:
Tl (0.0000, 0.0000, 0.0000)  4 Tl 3.41-3.74, 6 In 3.57-3.63
Tl (0.0002, 0.0002, 0.3620)  1 Ge 3.55, 11 In 3.58-3.68, 4 Tl 3.71-3.74
Tl (0.0011, 0.6436, 0.3633)  4 Tl 3.43-3.71, 5 In 3.51-3.63, 1 Ge 3.57
Tl (0.2843, 0.6038, 0.9624)  5 In 3.28-3.66, 7 Tl 3.45-3.59
Tl (0.3175, 0.3175, 0.0682)  5 In 3.29-3.62, 7 Tl 3.45-3.60
Tl (0.3235, 0.7165, 0.6790)  5 In 3.25-3.63, 6 Tl 3.44-3.62
Tl (0.3635, 0.3635, 0.7172)  4 Tl 3.45-3.74, 8 In 3.59-3.85
Tl (0.3948, 0.6802, 0.3572)  4 In 3.25-3.47, 7 Tl 3.43-3.59
Tl (0.3954, 0.9985, 0.0385)  5 In 3.28-3.63, 7 Tl 3.47-3.60
Tl (0.6038, 0.2843, 0.9624)  5 In 3.28-3.66, 7 Tl 3.45-3.59
Tl (0.6123, 0.6123, 0.6349)  1 Ge 3.19, 5 Tl 3.45-3.54, 2 In 3.50
Tl (0.6436, 0.0011, 0.3633)  4 Tl 3.43-3.71, 5 In 3.51-3.63, 1 Ge 3.57
Tl (0.6802, 0.3948, 0.3572)  4 In 3.25-3.47, 7 Tl 3.43-3.59
Tl (0.6837, 0.9979, 0.7532)  3 In 3.25-3.63, 1 Ge 3.34, 7 Tl 3.41-3.64
Tl (0.7165, 0.3235, 0.6790)  5 In 3.25-3.63, 6 Tl 3.44-3.62
Tl (0.9985, 0.3954, 0.0385)  5 In 3.28-3.63, 7 Tl 3.47-3.60
Tl (0.9979, 0.6837, 0.7532)  3 In 3.25-3.63, 1 Ge 3.34, 7 Tl 3.41-3.64
In (0.0037, 0.3722, 0.5490)  3 In 3.07-3.18, 3 Tl 3.25-3.41
In (0.1752, 0.8105, 0.1724)  3 In 3.07-3.18, 2 Tl 3.28-3.40
In (0.1810, 0.9946, 0.7203)  1 Ge 2.97, 2 In 3.07-3.16, 1 Tl 3.28
In (0.1856, 0.3656, 0.3555)  3 In 3.05-3.18, 2 Tl 3.25-3.38
In (0.3656, 0.1856, 0.3555)  3 In 3.05-3.18, 2 Tl 3.25-3.38
In (0.3722, 0.0037, 0.5490)  3 In 3.07-3.18, 3 Tl 3.25-3.41
In (0.6313, 0.8133, 0.9939)  3 In 3.07-3.26, 2 Tl 3.25-3.37
In (0.6432, 0.6432, 0.2087)  1 Ge 2.91
In (0.8105, 0.1752, 0.1724)  3 In 3.07-3.18, 2 Tl 3.28-3.40
In (0.8133, 0.6313, 0.9939)  3 In 3.07-3.26, 2 Tl 3.25-3.37
In (0.9946, 0.1810, 0.7203)  1 Ge 2.97, 2 In 3.07-3.16, 1 Tl 3.28
Ge (0.8304, 0.8304, 0.5521)  3 In 2.91-2.97, 1 Tl 3.19

Crystal system = monoclinic
Space-group type = Cm
ΔE_f = 0.02 eV per atom
Electronic total energy = -2.5625 eV/atom

---

Question: Which value of ΔE_f does entry 6 give?
Answer: 0.63 eV per atom

---

Question: What is the electronic total energy in the third record?
Answer: -2.3048 eV/atom

---

Question: What is the ΔE_f in the sixth record?
Answer: 0.63 eV per atom